# CrIr2

CrIr2 at its PBEsol-relaxed geometry (SCAN, Alexandria).

```
CrIr2
1.0
-1.335 1.335 5.539
1.335 -1.335 5.539
1.335 1.335 -5.539
Cr Ir
1 2
Cartesian
0.000 0.000 0.000
0.000 0.000 3.791
0.000 0.000 7.287
```

Computed properties:
Magnetization: 0.000 μB/f.u.
Uncorrected energy: -53.739 eV/atom
Energy of formation: -0.21 eV per atom

# Co2SiBN

Co2SiBN at its PBEsol-relaxed geometry (SCAN, Alexandria).

```
Co2SiBN
1.0
3.720 0.000 0.000
0.000 3.720 0.000
0.000 0.000 3.440
Co Si B N
2 1 1 1
Cartesian
0.000 1.860 0.000
1.860 0.000 0.000
0.000 0.000 1.720
1.860 1.860 1.720
0.000 0.000 0.000
```

Computed properties:
Magnetization: 0.002 μB/f.u.
Uncorrected energy: -11.518 eV/atom
E_form (uncorrected): 0.751 eV per atom

# Na2InO

Na2InO at its PBEsol-relaxed geometry (SCAN, Alexandria).

```
Na2InO
1.0
0.000 3.376 3.376
3.376 0.000 3.376
3.376 3.376 0.000
Na In O
2 1 1
Cartesian
1.688 1.688 1.688
5.064 5.064 5.064
0.000 0.000 0.000
3.376 3.376 3.376
```

Computed properties:
Magnetization: 0.000 μB/f.u.
Uncorrected energy: -12.191 eV/atom
Energy above the most stable polymorph in this dataset: 1.898 eV/f.u.
E_form (uncorrected): -0.180 eV per atom

# AlInP

AlInP at its PBEsol-relaxed geometry (SCAN, Alexandria).

```
AlInP
1.0
-1.702 1.702 5.692
1.702 -1.702 5.692
1.702 1.702 -5.692
Al In P
1 1 1
Cartesian
0.000 0.000 0.000
0.000 0.000 8.626
0.000 0.000 6.072
```

Computed properties:
Magnetization: 0.001 μB/f.u.
Uncorrected energy: -17.213 eV/atom
Energy of formation: -0.03 eV per atom

# MnIrOs2Pb

MnIrOs2Pb at its PBEsol-relaxed geometry (SCAN, Alexandria).

```
MnIrOs2Pb
1.0
4.888 0.000 0.000
0.000 4.888 0.000
0.000 0.000 4.867
Mn Ir Os Pb
1 1 2 1
Cartesian
0.000 0.000 0.000
2.444 2.444 0.000
0.000 2.444 2.433
2.444 0.000 2.433
2.444 2.444 2.433
```

Computed properties:
Magnetization: 3.943 μB/f.u.
Uncorrected energy: -59.001 eV/atom
Energy of formation: 2.78 eV per atom

# K2AlCdBr

K2AlCdBr at its PBEsol-relaxed geometry (SCAN, Alexandria).

```
K2AlCdBr
1.0
6.500 0.000 0.000
0.000 6.500 0.000
0.000 0.000 5.722
K Al Cd Br
2 1 1 1
Cartesian
0.000 3.250 0.000
3.250 0.000 0.000
0.000 0.000 2.861
3.250 3.250 0.000
3.250 3.250 2.861
```

Computed properties:
Magnetization: 1.103 μB/f.u.
Uncorrected energy: -14.625 eV/atom
E_form (uncorrected): 0.232 eV per atom

# BaPt2Au

BaPt2Au at its PBEsol-relaxed geometry (SCAN, Alexandria).

```
BaPt2Au
1.0
2.288 1.321 5.397
-2.288 1.321 5.397
0.000 -2.642 5.397
Ba Pt Au
1 2 1
Cartesian
0.000 0.000 0.000
0.000 0.000 7.931
0.000 0.000 13.134
0.000 0.000 3.076
```

Computed properties:
Magnetization: 0.007 μB/f.u.
Uncorrected energy: -62.915 eV/atom
Energy of formation: -0.64 eV per atom
Energy above the most stable polymorph in this dataset: 0.003 eV/f.u.

# SrBi2As2

SrBi2As2 at its PBEsol-relaxed geometry (SCAN, Alexandria).

```
SrBi2As2
1.0
-2.244 2.244 7.153
2.244 -2.244 7.153
2.244 2.244 -7.153
Sr Bi As
1 2 2
Cartesian
0.000 0.000 0.000
2.244 0.000 3.577
0.000 2.244 3.577
0.000 0.000 5.935
0.000 0.000 8.372
```

Computed properties:
Magnetization: 0.000 μB/f.u.
Uncorrected energy: -44.281 eV/atom
Energy of formation: -0.32 eV per atom

# Mn4TcRu

Mn4TcRu at its PBEsol-relaxed geometry (SCAN, Alexandria).

```
Mn4TcRu
1.0
0.000 3.249 3.249
3.249 0.000 3.249
3.249 3.249 0.000
Mn Tc Ru
4 1 1
Cartesian
0.806 0.806 0.806
2.443 2.443 0.806
2.443 0.806 2.443
0.806 2.443 2.443
3.249 3.249 3.249
4.873 4.873 4.873
```

Computed properties:
Magnetization: 1.148 μB/f.u.
Uncorrected energy: -23.754 eV/atom
Energy of formation: 0.06 eV per atom

# Li2ZnRu

Li2ZnRu at its PBEsol-relaxed geometry (SCAN, Alexandria).

```
Li2ZnRu
1.0
2.576 -4.474 0.000
2.576 4.474 0.000
-1.100 0.000 2.292
Li Zn Ru
2 1 1
Cartesian
1.288 2.237 0.000
1.288 -2.237 0.000
-0.550 0.000 1.146
2.026 0.000 1.146
```

Computed properties:
Magnetization: 0.001 μB/f.u.
Uncorrected energy: -13.342 eV/atom
Energy of formation: -0.06 eV per atom

# CrIrOsF2

CrIrOsF2 at its PBEsol-relaxed geometry (SCAN, Alexandria).

```
CrIrOsF2
1.0
3.905 0.000 0.000
0.000 3.905 0.000
0.000 0.000 5.000
Cr Ir Os F
1 1 1 2
Cartesian
0.000 0.000 0.000
1.953 1.953 0.000
1.953 1.953 2.500
0.000 1.953 2.500
1.953 0.000 2.500
```

Computed properties:
Magnetization: 3.923 μB/f.u.
Uncorrected energy: -33.684 eV/atom
E_form (uncorrected): 0.005 eV per atom

# Y2ZrGa2

Y2ZrGa2 at its PBEsol-relaxed geometry (SCAN, Alexandria).

```
Y2ZrGa2
1.0
7.298 0.000 0.000
0.000 7.298 0.000
0.000 0.000 4.256
Y Zr Ga
4 2 4
Cartesian
1.285 2.364 0.000
2.364 6.013 0.000
4.934 1.285 0.000
6.013 4.934 0.000
0.000 0.000 2.128
3.649 3.649 2.128
0.910 4.559 2.128
2.739 0.910 2.128
4.559 6.388 2.128
6.388 2.739 2.128
```

Computed properties:
Magnetization: 0.000 μB/f.u.
Uncorrected energy: -24.397 eV/atom
Energy of formation: -0.58 eV per atom